Here is a relaxed structure of PrSm2Mg2 from Alexandria via LeMat-Bulk. Energies are from GGA-PBE.

Summary:
Density of states at the Fermi level in states/eV/atom: 1.083
Relative energy among the computed polymorphs in meV/atom: 0
ΔE_f in kJ/mol of formula units: -37.7
Crystal system: monoclinic

a b c (Å): 3.849 5.568 14.275
angles (deg): 90.00 97.78 90.00
Fractional positions:
Pr 0.150 0.250 0.298
Pr 0.850 0.750 0.702
Sm 0.045 0.750 0.091
Sm 0.237 0.750 0.475
Sm 0.763 0.250 0.525
Sm 0.955 0.250 0.909
Mg 0.358 0.250 0.718
Mg 0.451 0.750 0.899
Mg 0.549 0.250 0.101
Mg 0.642 0.750 0.282